1.
{"formula": "LiDy2Au6", "functional": "PBE", "state": "relaxed", "lattice": [[5.356, -0.023, -0.013], [0.028, 6.220, 0.007], [0.028, 3.105, 5.390]], "species": ["Li", "Dy", "Dy", "Au", "Au", "Au", "Au", "Au", "Au"], "frac_coords": [[0.000, 0.000, 0.000], [0.815, 0.667, 0.667], [0.185, 0.333, 0.333], [0.298, 0.356, 0.822], [0.298, 0.822, 0.822], [0.298, 0.822, 0.356], [0.702, 0.644, 0.178], [0.702, 0.178, 0.178], [0.702, 0.178, 0.644]], "polymorph_energy_mev_per_atom": 36, "formation_energy_ev_per_fu": -5.477}



2.
{"formula": "Li3DyAu4", "functional": "PBE", "state": "relaxed", "lattice": [[-4.209, 2.972, 2.614], [1.591, -4.433, 3.346], [4.537, 3.465, -0.892]], "species": ["Dy", "Au", "Au", "Au", "Au", "Li", "Li", "Li"], "frac_coords": [[0.000, 0.000, 0.000], [0.000, 0.000, 0.500], [0.500, 0.500, 0.500], [0.500, 0.000, 0.000], [0.000, 0.500, 0.000], [0.000, 0.500, 0.500], [0.500, 0.000, 0.500], [0.500, 0.500, 0.000]], "formation_energy_ev_per_fu": -4.586}



3.
{"formula": "LiDy2Au3", "functional": "PBE", "state": "relaxed", "lattice": [[-2.752, 2.322, 3.448], [3.856, -2.839, 1.386], [7.221, 9.498, -0.632]], "species": ["Li", "Li", "Dy", "Dy", "Dy", "Dy", "Au", "Au", "Au", "Au", "Au", "Au"], "frac_coords": [[0.333, 0.667, 0.669], [0.667, 0.333, 0.331], [0.000, 0.000, 0.500], [0.333, 0.667, 0.185], [0.667, 0.333, 0.815], [0.000, 0.000, 0.000], [0.333, 0.667, 0.436], [0.667, 0.333, 0.078], [0.000, 0.000, 0.750], [0.000, 0.000, 0.250], [0.333, 0.667, 0.922], [0.667, 0.333, 0.564]], "polymorph_energy_mev_per_atom": 0, "formation_energy_ev_per_fu": -4.568}



4.
{"formula": "Li2DyAu8", "functional": "PBE", "state": "relaxed", "lattice": [[3.936, 0.046, -1.174], [-0.997, 7.092, -3.068], [0.216, -0.865, 7.822]], "species": ["Li", "Li", "Dy", "Au", "Au", "Au", "Au", "Au", "Au", "Au", "Au"], "frac_coords": [[0.792, 0.601, 0.220], [0.481, 0.290, 0.597], [0.136, 0.885, 0.909], [0.636, 0.175, 0.909], [0.982, 0.042, 0.600], [0.291, 0.352, 0.218], [0.801, 0.083, 0.239], [0.321, 0.855, 0.277], [0.952, 0.487, 0.541], [0.136, 0.476, 0.909], [0.472, 0.753, 0.579]], "polymorph_energy_mev_per_atom": 30, "formation_energy_ev_per_fu": -4.888}



5.
{"formula": "Li2DyAu2", "functional": "PBE", "state": "relaxed", "lattice": [[3.831, 0.000, 0.000], [0.000, 3.831, 0.000], [-1.915, -1.915, 6.687]], "species": ["Li", "Li", "Dy", "Au", "Au"], "frac_coords": [[0.750, 0.250, 0.500], [0.250, 0.750, 0.500], [0.000, 0.000, 0.000], [0.608, 0.608, 0.215], [0.392, 0.392, 0.785]], "formation_energy_ev_per_fu": -3.057}



6.
{"formula": "LiDyAu4", "functional": "PBE", "state": "relaxed", "lattice": [[5.547, 0.000, 0.000], [2.774, 4.804, 0.000], [2.774, 1.601, 4.530]], "species": ["Li", "Au", "Au", "Au", "Au", "Dy"], "frac_coords": [[0.000, 0.000, 0.000], [0.625, 0.625, 0.124], [0.625, 0.124, 0.625], [0.625, 0.625, 0.625], [0.124, 0.625, 0.625], [0.250, 0.250, 0.250]], "polymorph_energy_mev_per_atom": 114, "formation_energy_ev_per_fu": -2.847}



7.
{"formula": "Li2DyAu8", "functional": "PBE", "state": "relaxed", "lattice": [[-1.420, 1.191, -3.663], [-6.170, 0.468, 2.544], [3.986, 6.142, 2.753]], "species": ["Li", "Li", "Dy", "Au", "Au", "Au", "Au", "Au", "Au", "Au", "Au"], "frac_coords": [[0.779, 0.352, 0.558], [0.221, 0.648, 0.442], [0.500, 0.000, 0.000], [0.395, 0.538, 0.791], [0.684, 0.915, 0.367], [0.853, 0.795, 0.707], [0.953, 0.281, 0.905], [0.147, 0.205, 0.293], [0.316, 0.085, 0.633], [0.605, 0.462, 0.209], [0.047, 0.719, 0.095]], "polymorph_energy_mev_per_atom": 0, "formation_energy_ev_per_fu": -5.216}



8.
{"formula": "LiDy2Au6", "functional": "PBE", "state": "relaxed", "lattice": [[-2.573, -3.527, -2.818], [7.724, -2.562, -3.873], [-2.821, -4.007, 7.564]], "species": ["Li", "Li", "Dy", "Dy", "Dy", "Dy", "Au", "Au", "Au", "Au", "Au", "Au", "Au", "Au", "Au", "Au", "Au", "Au"], "frac_coords": [[0.250, 0.250, 0.750], [0.750, 0.750, 0.250], [0.500, 0.663, 0.837], [0.000, 0.163, 0.337], [0.500, 0.337, 0.163], [0.000, 0.837, 0.663], [0.504, 0.670, 0.498], [0.996, 0.502, 0.330], [0.496, 0.330, 0.502], [0.004, 0.498, 0.670], [0.245, 0.911, 0.411], [0.255, 0.589, 0.089], [0.755, 0.089, 0.589], [0.745, 0.411, 0.911], [0.996, 0.830, 0.002], [0.504, 0.998, 0.170], [0.004, 0.170, 0.998], [0.496, 0.002, 0.830]], "polymorph_energy_mev_per_atom": 0, "formation_energy_ev_per_fu": -5.800}



Calculated V, 19.94 18.56 21.43 19.00 19.63 20.12 18.03 20.27 A^3/atom (same order as the records).